A plane-wave DFT calculation with PBE was carried out for a relaxed NbReBiB2 crystal.

Its space group is P4/mmm, No. 123. The raw total energy comes out at -25.59 eV per cell. For the formation energy, the calculation gives 2.833 eV per atom.

a b c (Å): 4.3774 5.3387 4.3774
angles (deg): 90.00 90.00 90.00
Sites, in units of the cell vectors:
Nb  0.5000  0.5000  0.5000
Bi  0.0000  0.0000  0.0000
B  0.5000  0.0000  0.0000
B  0.0000  0.0000  0.5000
Re  0.0000  0.5000  0.0000